Compound: TaCoSeN2
Source: Alexandria via LeMat-Bulk
Functional: GGA-PBE
Structure: optimized geometry

Cell: 3.741 3.741 4.513 Å, 90.00 90.00 90.00°
Space group P4/mmm (No. 123)
Inequivalent atoms, fractional coordinates:
1 Ta 0.000 0.000 0.000
2 Co 0.500 0.500 0.500
3 Se 0.500 0.500 0.000
4 N 0.000 0.500 0.500

Values from the calculation:
E_form (uncorrected) (meV/atom): 1062
Fermi-level density of states (states/eV/atom): 0.924